The following is a DFT calculation (PBE) of a geometry-optimized Ho2InRu structure.

Cell lengths 7.125, 7.125, 7.125 Å; angles 90.00, 90.00, 90.00 degrees
Space group Fm-3m (No. 225)
Unique sites:
Ho 0.250 0.250 0.250 (multiplicity 8)
In 0.000 0.000 0.000 (multiplicity 4)
Ru 0.000 0.000 0.500 (multiplicity 4)

The volume comes out at 361.7 Å³/cell. The calculation puts the formation energy at -33.7 kJ per mole of atoms.

=====

The following is a DFT calculation (PBE) of a geometry-optimized Ba2Li3CaPb4 structure.

Cell lengths 4.791, 4.791, 13.620 Å; angles 90.00, 90.00, 90.00 degrees
Space group P-4m2 (No. 115)
Unique sites:
Ba 0.000 0.500 0.229 (multiplicity 2)
Li 0.000 0.500 0.870 (multiplicity 2)
Li 0.500 0.500 0.500 (multiplicity 1)
Ca 0.000 0.000 0.500 (multiplicity 1)
Pb 0.000 0.000 0.000 (multiplicity 1)
Pb 0.000 0.500 0.657 (multiplicity 2)
Pb 0.500 0.500 0.000 (multiplicity 1)

The volume comes out at 312.6 Å³/cell. The calculation puts the formation energy at -39.2 kJ per mole of atoms.

=====

The following is a DFT calculation (PBE) of a geometry-optimized SiIr2Cl structure.

Cell lengths 6.140, 6.140, 6.140 Å; angles 90.00, 90.00, 90.00 degrees
Space group Fm-3m (No. 225)
Unique sites:
Si 0.000 0.000 0.000 (multiplicity 4)
Ir 0.250 0.250 0.250 (multiplicity 8)
Cl 0.000 0.000 0.500 (multiplicity 4)

The volume comes out at 231.5 Å³/cell. The calculation puts the raw formation energy at 0.5380 eV per atom.

=====

The following is a DFT calculation (PBE) of a geometry-optimized Ba3Cu structure.

Cell lengths 4.106, 4.106, 10.903 Å; angles 90.00, 90.00, 90.00 degrees
Space group P4/mmm (No. 123)
Unique sites:
Ba 0.000 0.000 0.000 (multiplicity 1)
Ba 0.500 0.500 0.328 (multiplicity 2)
Cu 0.000 0.000 0.500 (multiplicity 1)

The volume comes out at 183.8 Å³/cell. The calculation puts the formation energy at 3.4 kJ per mole of atoms.

=====

It is found that the uncorrected energy values, taken in the order of the records, are -5.64, -3.05, -5.71, -2.43 eV per atom.